VASP calculation (GGA-PBE) on an optimized crystal structure of Pr2ErS3.

- Total DFT energy (no corrections): -6.418 eV per atom
- Space-group type: No. 164

Geometry as POSCAR:
```
Pr2ErS3
1.0
3.994 0.000 0.000
-1.997 3.459 0.000
0.000 0.000 9.987
Pr Er S
2 1 3
direct
0.333 0.667 0.171
0.667 0.333 0.829
0.000 0.000 0.500
0.000 0.000 0.000
0.333 0.667 0.649
0.667 0.333 0.351
```


VASP calculation (GGA-PBE) on an optimized crystal structure of PrErS3.

- Total DFT energy (no corrections): -6.423 eV per atom
- Space-group type: No. 11

Geometry as POSCAR:
```
PrErS3
1.0
11.052 0.000 0.000
0.000 3.973 0.000
-4.353 0.000 21.125
Pr Er S
8 8 24
direct
0.092 0.250 0.364
0.202 0.250 0.037
0.303 0.750 0.734
0.308 0.250 0.233
0.692 0.750 0.767
0.697 0.250 0.266
0.798 0.750 0.963
0.908 0.750 0.636
0.029 0.250 0.852
0.179 0.250 0.547
0.447 0.250 0.917
0.478 0.750 0.412
0.522 0.250 0.588
0.553 0.750 0.083
0.821 0.750 0.453
0.971 0.750 0.148
0.039 0.250 0.229
0.058 0.750 0.945
0.085 0.750 0.463
0.125 0.250 0.664
0.205 0.750 0.134
0.253 0.750 0.326
0.254 0.250 0.824
0.342 0.750 0.599
0.355 0.750 0.985
0.363 0.250 0.464
0.452 0.250 0.134
0.495 0.250 0.720
0.505 0.750 0.280
0.548 0.750 0.866
0.637 0.750 0.536
0.645 0.250 0.015
0.658 0.250 0.401
0.746 0.750 0.176
0.747 0.250 0.674
0.795 0.250 0.866
0.875 0.750 0.336
0.915 0.250 0.537
0.942 0.250 0.055
0.961 0.750 0.771
```


VASP calculation (GGA-PBE) on an optimized crystal structure of PrErS3.

- Total DFT energy (no corrections): -6.424 eV per atom
- Space-group type: No. 63

Geometry as POSCAR:
```
PrErS3
1.0
1.955 -6.349 0.000
1.955 6.349 0.000
0.000 0.000 9.576
Pr Er S
2 2 6
direct
0.247 0.753 0.750
0.753 0.247 0.250
0.500 0.500 0.000
0.500 0.500 0.500
0.142 0.858 0.064
0.142 0.858 0.436
0.412 0.588 0.250
0.588 0.412 0.750
0.858 0.142 0.564
0.858 0.142 0.936
```


VASP calculation (GGA-PBE) on an optimized crystal structure of PrErSb.

- Total DFT energy (no corrections): -5.039 eV per atom
- Space-group type: No. 216

Geometry as POSCAR:
```
PrErSb
1.0
0.000 3.646 3.646
3.646 0.000 3.646
3.646 3.646 0.000
Pr Er Sb
1 1 1
direct
0.000 0.000 0.000
0.500 0.500 0.500
0.750 0.750 0.750
```